Below is a relaxed LaSiAg2 crystal, with properties calculated at the GGA-PBE level.

Geometry as extended XYZ:
```
4
Lattice="4.3499 0.0000 0.0000 0.0000 4.3981 0.0000 0.0000 0.0000 4.7801" Properties=species:S:1:pos:R:3 pbc="T T T"
Ag 0.0000 0.0000 0.0000
Ag 2.1750 2.1990 0.0000
La 2.1750 0.0000 2.3901
Si 0.0000 2.1990 2.3901
```

Values from the calculation:
Energy relative to the elements, uncorrected (eV/atom): -0.078
V (Å³ per atom): 22.86
Space group: Pmmm (47)
Electronic total energy (eV/atom): -4.09



Below is a relaxed KNdHfZrO6 crystal, with properties calculated at the GGA-PBE level.

Geometry as extended XYZ:
```
10
Lattice="5.1465 1.7607 2.1972 0.1612 4.2192 4.0726 1.4318 -1.3183 5.5341" Properties=species:S:1:pos:R:3 pbc="T T T"
K 5.0546 3.4963 8.8530
Nd 1.6849 1.1654 2.9510
Hf 0.0000 0.0000 0.0000
Zr 3.3697 2.3309 5.9020
O 1.7540 3.2818 4.9808
O 4.9854 1.3799 6.8232
O 2.4750 2.6179 7.7676
O 4.2644 2.0438 4.0364
O 2.3938 0.4933 5.7167
O 4.3456 4.1684 6.0872
```

Values from the calculation:
Energy relative to the elements, uncorrected (eV/atom): -3.038
V (Å³ per atom): 14.28
Space group: F-43m (216)
Electronic total energy (eV/atom): -8.45



Below is a relaxed LiCa2Cr crystal, with properties calculated at the GGA-PBE level.

Geometry as extended XYZ:
```
4
Lattice="10.7570 -0.1597 -0.0937 10.1909 3.4476 -0.0937 10.1909 1.5995 3.0555" Properties=species:S:1:pos:R:3 pbc="T T T"
Ca 30.9322 4.8549 2.8490
Ca 15.7760 2.4761 1.4531
Cr 7.7847 1.2218 0.7170
Li 23.3541 3.6655 2.1510
```

Values from the calculation:
V (Å³ per atom): 30.45
Space group: R-3m (166)
Energy of formation (eV per atom): 0.5045
Electronic total energy (eV/atom): -3.38



Below is a relaxed RbOsBr3 crystal, with properties calculated at the GGA-PBE level.

Geometry as extended XYZ:
```
10
Lattice="-4.3519 5.0543 3.2474 -3.7911 -5.4211 3.3570 -0.7799 0.0354 7.3728" Properties=species:S:1:pos:R:3 pbc="T T T"
Os -4.0715 -0.1834 3.3022
Os 0.0000 0.0000 0.0000
Br -2.4258 -0.0740 5.3374
Br -6.4972 -0.2574 8.6398
Br -2.0356 -0.0917 1.6510
Br -6.1074 -0.2751 4.9534
Br -4.2117 2.4356 3.2748
Br -3.9313 -2.8024 3.3296
Rb -4.6017 2.4531 6.9612
Rb -4.3213 -2.7846 7.0160
```

Values from the calculation:
Energy relative to the elements, uncorrected (eV/atom): -0.243
V (Å³ per atom): 28.83
Space group: Pm-3m (221)
Electronic total energy (eV/atom): -3.69



Below is a relaxed NaTlF5 crystal, with properties calculated at the GGA-PBE level.

Geometry as extended XYZ:
```
28
Lattice="0.0994 0.6828 -4.1847 -6.3585 -6.0930 4.2122 -7.6349 8.8394 1.2610" Properties=species:S:1:pos:R:3 pbc="T T T"
Na -8.9614 3.5281 0.7227
Na -7.7308 -3.1877 0.5250
Na -4.9327 -0.0989 0.5659
Na -6.1632 6.6169 0.7637
Tl -1.4392 -0.5936 -2.5936
Tl -5.6818 3.3075 -0.9016
Tl -12.4548 4.0228 3.8823
Tl -8.2123 0.1217 2.1902
F -9.4038 5.4439 2.0868
F -3.4669 3.1289 -0.4641
F -4.4902 -2.0147 -0.7982
F -10.4272 0.3003 1.7527
F -7.9491 2.3358 2.4882
F -7.0677 -4.7330 2.6510
F -5.9449 1.0934 -1.1996
F -6.8263 8.1622 -1.3624
F -5.2401 2.2831 1.1650
F -8.5286 7.3294 0.6060
F -8.6539 1.1461 0.1236
F -5.3654 -3.9002 0.6826
F -2.6665 0.2637 0.6091
F -6.8757 4.4556 0.4638
F -11.2275 3.1655 0.6795
F -7.0183 -1.0264 0.8248
F -5.2779 5.5308 -1.1527
F -3.6413 -0.7350 -2.0455
F -8.6161 -2.1016 2.4413
F -10.2528 4.1642 3.3341
```

Values from the calculation:
Energy relative to the elements, uncorrected (eV/atom): -1.792
Distance to the lowest polymorph of the same formula (meV per atom): 0
V (Å³ per atom): 14.60
Space group: P2_1/c (14)
Electronic total energy (eV/atom): -3.65



Below is a relaxed BaCdPd3 crystal, with properties calculated at the GGA-PBE level.

Geometry as extended XYZ:
```
5
Lattice="5.3911 0.0000 0.0000 0.0000 5.3911 0.0000 0.0000 0.0000 5.3911" Properties=species:S:1:pos:R:3 pbc="T T T"
Ba 0.0000 0.0000 0.0000
Pd 0.0000 2.6955 0.0000
Pd 0.0000 0.0000 2.6955
Pd 2.6955 0.0000 0.0000
Cd 2.6955 2.6955 2.6955
```

Values from the calculation:
Distance to the lowest polymorph of the same formula (meV per atom): 1230
V (Å³ per atom): 31.34
Space group: Pm-3m (221)
Energy of formation (eV per atom): 0.8739
Electronic total energy (eV/atom): -2.81



Below is a relaxed TbPr5Tl5 crystal, with properties calculated at the GGA-PBE level.

Geometry as extended XYZ:
```
11
Lattice="-2.4582 5.3211 -0.4455 1.5550 -3.2759 -8.9249 -6.1129 -2.5842 2.8636" Properties=species:S:1:pos:R:3 pbc="T T T"
Tb 0.0000 0.0000 0.0000
Pr -2.2432 1.9461 -3.1607
Pr -5.0089 0.8547 -0.9361
Pr -3.0564 -1.2921 1.4318
Pr -2.0072 -1.3937 -5.5707
Pr -4.7729 -2.4851 -3.3460
Tl -1.3989 2.0783 -6.2397
Tl -4.7587 0.6582 -4.6630
Tl -1.2291 2.6606 -0.2228
Tl -2.2574 -1.1972 -1.8437
Tl -5.6172 -2.6174 -0.2670
```

Values from the calculation:
V (Å³ per atom): 32.46
Space group: C2/m (12)
Energy of formation (eV per atom): -0.1723
Electronic total energy (eV/atom): -3.84



Below is a relaxed Ac2AlS5 crystal, with properties calculated at the GGA-PBE level.

Geometry as extended XYZ:
```
16
Lattice="5.5871 0.0000 0.0000 -2.7936 7.0961 0.0000 0.0000 0.0000 12.5292" Properties=species:S:1:pos:R:3 pbc="T T T"
Ac 2.7936 5.0106 5.3735
Ac 2.7936 5.0106 0.8911
Ac 0.0000 2.0855 7.1557
Ac 0.0000 2.0855 11.6380
Al 2.7936 4.3903 9.3969
Al 0.0000 2.7058 3.1323
S 2.7936 6.3564 10.7802
S 2.7936 6.3564 8.0136
S 0.0000 4.1794 4.9794
S 0.0000 4.1794 1.2852
S 2.7936 3.1064 3.1323
S 0.0000 3.9897 9.3969
S 2.7936 2.9166 7.5498
S 2.7936 2.9166 11.2440
S 0.0000 0.7397 1.7490
S 0.0000 0.7397 4.5156
```

Values from the calculation:
Energy relative to the elements, uncorrected (eV/atom): -1.409
V (Å³ per atom): 31.05
Space group: Cmcm (63)
Electronic total energy (eV/atom): -5.48



Below is a relaxed YVSCl2 crystal, with properties calculated at the GGA-PBE level.

Geometry as extended XYZ:
```
5
Lattice="-5.1099 -0.1900 -0.9698 -0.8869 -1.3707 4.9419 -0.4460 5.1337 1.3439" Properties=species:S:1:pos:R:3 pbc="T T T"
Y 0.0000 0.0000 0.0000
S -0.2230 2.5668 0.6720
Cl -0.4435 -0.6854 2.4709
Cl -2.5550 -0.0950 -0.4849
V -3.2214 1.7865 2.6580
```

Values from the calculation:
Energy relative to the elements, uncorrected (eV/atom): -0.750
Distance to the lowest polymorph of the same formula (meV per atom): 103
V (Å³ per atom): 28.85
Space group: P4/mmm (123)
Electronic total energy (eV/atom): -5.43



Below is a relaxed Pr2Sn3Au crystal, with properties calculated at the GGA-PBE level.

Geometry as extended XYZ:
```
6
Lattice="-2.6436 -3.2821 -0.5505 3.7815 -3.0382 -0.0455 -0.5969 -0.8629 8.0105" Properties=species:S:1:pos:R:3 pbc="T T T"
Pr 1.2946 -2.3808 7.9770
Pr -0.3012 -0.4354 4.0424
Sn -1.8203 -2.3616 6.4143
Sn -1.4313 -1.7994 1.1946
Sn 0.1783 -3.7249 4.9444
Au 0.3757 -3.4394 2.2948
```

Values from the calculation:
V (Å³ per atom): 27.76
Space group: Pmm2 (25)
Energy of formation (eV per atom): -0.6115
Electronic total energy (eV/atom): -4.75



Below is a relaxed OsRu2Br crystal, with properties calculated at the GGA-PBE level.

Geometry as extended XYZ:
```
4
Lattice="-1.9272 1.3671 -3.9020 -3.9403 1.3242 -1.8786 0.4221 5.1625 0.5294" Properties=species:S:1:pos:R:3 pbc="T T T"
Ru -5.8429 2.8594 -5.7525
Ru -2.7473 3.7589 -2.6536
Os -1.3614 1.9635 -1.3128
Br -4.0841 5.8904 -3.9383
```

Values from the calculation:
Energy relative to the elements, uncorrected (eV/atom): 0.951
Distance to the lowest polymorph of the same formula (meV per atom): 326
V (Å³ per atom): 15.82
Space group: C2/m (12)
Electronic total energy (eV/atom): -6.91



Below is a relaxed Na2TeIO6 crystal, with properties calculated at the GGA-PBE level.

Geometry as extended XYZ:
```
10
Lattice="-4.4784 0.3735 1.3266 -0.7088 -5.6401 -0.8050 1.5327 -0.9701 5.4471" Properties=species:S:1:pos:R:3 pbc="T T T"
Na -0.4195 -2.8146 -0.3832
Na 0.7013 -0.4796 2.7428
Te -2.6902 0.2244 0.7969
I -2.3737 -3.0728 3.1463
O -2.8816 -1.3942 2.0745
O -2.1148 -1.8795 4.7995
O -0.6326 -3.2180 2.6305
O -0.9142 0.0762 0.2708
O -2.4694 -4.7010 4.3968
O -3.2361 -4.2157 1.6718
```

Values from the calculation:
Energy relative to the elements, uncorrected (eV/atom): -0.937
V (Å³ per atom): 15.44
Space group: P4mm (99)
Electronic total energy (eV/atom): -4.65



Below is a relaxed K2InNi crystal, with properties calculated at the GGA-PBE level.

Geometry as extended XYZ:
```
4
Lattice="3.3867 0.1320 0.0000 -0.1018 3.3878 0.0000 0.0000 0.0000 10.6102" Properties=species:S:1:pos:R:3 pbc="T T T"
In 1.6425 1.7599 7.9576
K 0.0000 0.0000 0.4533
K 0.0000 0.0000 4.8518
Ni 1.6425 1.7599 2.6525
```

Values from the calculation:
V (Å³ per atom): 30.47
Space group: Cmmm (65)
Energy of formation (eV per atom): 0.5385
Electronic total energy (eV/atom): -2.14



Below is a relaxed FeB2W2 crystal, with properties calculated at the GGA-PBE level.

Geometry as extended XYZ:
```
5
Lattice="3.1708 0.0000 0.0000 1.5854 4.2485 0.0057 1.5854 1.7652 3.8645" Properties=species:S:1:pos:R:3 pbc="T T T"
B 3.1708 2.4975 2.7265
B 3.1708 3.5162 1.1437
Fe 0.0000 0.0000 0.0000
W 4.7561 4.2261 2.7198
W 1.5854 1.7876 1.1505
```

Values from the calculation:
V (Å³ per atom): 10.41
Space group: Immm (71)
Energy of formation (eV per atom): -0.4295
Electronic total energy (eV/atom): -9.97



Below is a relaxed Pm9PrHo2 crystal, with properties calculated at the GGA-PBE level.

Geometry as extended XYZ:
```
12
Lattice="5.1361 0.0000 0.0000 0.0000 5.1361 0.0000 0.0000 0.0000 15.4180" Properties=species:S:1:pos:R:3 pbc="T T T"
Pm 2.5680 2.5680 0.0000
Pm 2.5680 2.5680 5.1709
Pm 2.5680 2.5680 10.2471
Pm 2.5680 0.0000 2.6111
Pm 2.5680 0.0000 7.7090
Pm 2.5680 0.0000 12.8069
Pm 0.0000 2.5680 2.6111
Pm 0.0000 2.5680 7.7090
Pm 0.0000 2.5680 12.8069
Pr 0.0000 0.0000 0.0000
Ho 0.0000 0.0000 5.1611
Ho 0.0000 0.0000 10.2569
```

Values from the calculation:
V (Å³ per atom): 33.89
Space group: P4/mmm (123)
Energy of formation (eV per atom): 0.0175
Electronic total energy (eV/atom): -4.71



Below is a relaxed V2Pt6Rh crystal, with properties calculated at the GGA-PBE level.

Geometry as extended XYZ:
```
9
Lattice="-1.1896 2.4015 -0.6292 -4.4835 -3.5087 -4.9147 -2.1657 0.8026 7.1577" Properties=species:S:1:pos:R:3 pbc="T T T"
V -3.7109 -2.0716 -0.8906
V -2.9383 -0.6345 3.1336
Pt -3.0308 0.2094 0.5071
Pt -5.6014 -0.2198 3.7290
Pt -6.4506 -1.7994 -0.6940
Pt -4.5863 -1.8665 1.5471
Pt -1.3909 -1.0885 -1.5247
Pt -0.6719 0.2490 2.2206
Rh -0.5949 1.2007 -0.3146
```

Values from the calculation:
V (Å³ per atom): 14.98
Space group: P-62m (189)
Energy of formation (eV per atom): -0.3297
Electronic total energy (eV/atom): -7.20